1.
Material: ScTaW
Method: DFT, PBE-GGA
State: optimized geometry

Calculated values
* raw total energy: -10.24 eV per atom
* E above lowest polymorph: 0.000 eV/f.u.
* Fermi-level density of states: 1.184 states/eV/atom
* symmetry: P3m1, No. 156
* ΔE_f: 0.144 eV/atom

Geometry as POSCAR:
```
ScTaW
1.0
4.700 0.000 0.000
-2.350 4.070 0.000
0.000 0.000 2.876
Sc Ta W
1 1 1
direct
0.000 0.000 0.000
0.333 0.667 0.396
0.667 0.333 0.647
```

2.
Material: La2PrCuSe5
Method: DFT, PBE-GGA
State: optimized geometry

Calculated values
* raw total energy: -5.70 eV per atom
* E_form (uncorrected): -1.681 eV per atom
* Fermi-level density of states: 0.081 states/eV/atom
* symmetry: Cmc2_1, No. 36

Geometry as POSCAR:
```
La2PrCuSe5
1.0
2.080 -8.858 0.000
2.080 8.858 0.000
0.000 0.000 12.665
La Pr Cu Se
4 2 2 10
direct
0.113 0.887 0.500
0.116 0.884 0.846
0.884 0.116 0.346
0.887 0.113 0.000
0.177 0.823 0.178
0.823 0.177 0.678
0.448 0.552 0.575
0.552 0.448 0.075
0.013 0.987 0.165
0.301 0.699 0.846
0.315 0.685 0.509
0.346 0.654 0.172
0.494 0.506 0.901
0.506 0.494 0.401
0.654 0.346 0.672
0.685 0.315 0.009
0.699 0.301 0.346
0.987 0.013 0.665
```

3.
Material: Ir2WC
Method: DFT, PBE-GGA
State: optimized geometry

Calculated values
* raw total energy: -9.37 eV per atom
* Fermi-level density of states: 0.207 states/eV/atom
* symmetry: I-42d, No. 122
* ΔE_f: 0.608 eV/atom

Geometry as POSCAR:
```
Ir2WC
1.0
5.176 0.000 0.000
0.000 5.176 0.000
0.000 0.000 9.921
Ir W C
8 4 4
direct
0.174 0.250 0.125
0.250 0.674 0.375
0.250 0.826 0.875
0.326 0.250 0.625
0.674 0.750 0.625
0.750 0.174 0.875
0.750 0.326 0.375
0.826 0.750 0.125
0.000 0.000 0.500
0.000 0.500 0.750
0.500 0.000 0.250
0.500 0.500 0.000
0.000 0.000 0.000
0.000 0.500 0.250
0.500 0.000 0.750
0.500 0.500 0.500
```